Entry from the Alexandria database: a geometry-optimized HgOs5 structure (PBE).

## Properties
The raw total energy is -53.731 eV per cell. Its total magnetic moment is 0.00 μB/cell. The value obtained for the formation energy is 0.45 eV per atom. The calculation puts the energy above the lowest structure with this stoichiometry at 0.160 eV per atom.

Cell: 5.3302 5.3302 6.5888 Å, 75.42 75.42 30.39°
Closest atoms and distances in Å follow each position.
Fractional coordinates of all 6 atoms:
1 Os 0.3271 0.3271 0.3466  8 Os 2.62-2.79, 2 Hg 2.83
2 Os 0.2701 0.2701 0.9313  9 Os 2.66-2.94, 3 Hg 2.74-2.85
3 Os 0.6763 0.6763 0.6565  10 Os 2.62-2.86, 2 Hg 2.90
4 Os 0.9445 0.9445 0.6035  11 Os 2.69-2.86, 1 Hg 2.82
5 Os 0.6200 0.6200 0.2916  9 Os 2.62-2.84, 2 Hg 2.91
6 Hg 0.9954 0.9954 0.0038  10 Os 2.74-2.91, 2 Hg 2.79